(1)
AcLaScCd | PBE | optimized geometry

Lattice parameters (Å, degrees): 5.6072 5.6072 5.6072 60.00 60.00 60.00
Fractional coordinates of all 4 atoms:
Ac (0.0000, 0.0000, 0.0000)
La (0.2500, 0.2500, 0.2500)
Sc (0.7500, 0.7500, 0.7500)
Cd (0.5000, 0.5000, 0.5000)

Summary:
M_tot (μB per formula unit): 0.006
V (Å³/f.u.): 124.7
Formation enthalpy at 0 K (eV/atom): 0.083


(2)
BaAlW2 | PBE | optimized geometry

Lattice parameters (Å, degrees): 5.0338 5.0338 6.3482 96.40 96.40 37.90
Fractional coordinates of all 4 atoms:
Ba (0.0000, 0.0000, 0.0000)
Al (0.5000, 0.5000, 0.5000)
W (0.2302, 0.2302, 0.6369)
W (0.7698, 0.7698, 0.3631)

Summary:
M_tot (μB per formula unit): 0.000
V (Å³/f.u.): 98.1
Formation enthalpy at 0 K (eV/atom): 0.766


(3)
AcNd7Ho4 | PBE | optimized geometry

Lattice parameters (Å, degrees): 6.3782 7.3702 9.0776 90.04 103.56 90.02
Fractional coordinates of all 12 atoms:
Ac (0.0000, 0.0000, 0.0000)
Nd (0.0000, 0.5000, 0.0000)
Nd (0.2256, 0.9998, 0.6619)
Nd (0.2823, 0.7452, 0.3379)
Nd (0.5003, 0.2565, 0.0021)
Nd (0.4997, 0.7435, 0.9979)
Nd (0.7177, 0.2548, 0.6621)
Nd (0.7744, 0.0002, 0.3381)
Ho (0.2173, 0.4996, 0.6643)
Ho (0.2788, 0.2577, 0.3361)
Ho (0.7212, 0.7423, 0.6639)
Ho (0.7827, 0.5004, 0.3357)

Summary:
M_tot (μB per formula unit): 0.000
E above lowest polymorph (eV/f.u.): 0.000
V (Å³/f.u.): 414.8
Formation enthalpy at 0 K (eV/atom): 0.010


(4)
Mn3GaFe6 | PBE | optimized geometry

Lattice parameters (Å, degrees): 5.7006 5.7006 6.3166 120.52 120.52 47.91
Fractional coordinates of all 10 atoms:
Mn (0.0000, 0.0000, 0.0000)
Mn (0.4840, 0.4840, 0.2323)
Mn (0.5160, 0.5160, 0.7677)
Ga (0.0000, 0.0000, 0.5000)
Fe (0.0051, 0.5109, 0.6854)
Fe (0.2037, 0.2037, 0.9500)
Fe (0.4891, 0.9949, 0.3146)
Fe (0.5109, 0.0051, 0.6854)
Fe (0.7963, 0.7963, 0.0500)
Fe (0.9949, 0.4891, 0.3146)

Summary:
M_tot (μB per formula unit): 10.826
V (Å³/f.u.): 126.7
Formation enthalpy at 0 K (eV/atom): 0.287


(5)
InHg2PdBr | PBE | optimized geometry

Lattice parameters (Å, degrees): 5.3057 5.3057 5.2896 90.00 90.00 90.00
Fractional coordinates of all 5 atoms:
In (0.0000, 0.0000, 0.0000)
Hg (0.0000, 0.5000, 0.5000)
Hg (0.5000, 0.0000, 0.5000)
Pd (0.0000, 0.0000, 0.5000)
Br (0.5000, 0.5000, 0.0000)

Summary:
M_tot (μB per formula unit): 0.000
V (Å³/f.u.): 148.9
Raw formation energy (eV per atom): -0.250


(6)
RbThTeO6 | PBE | optimized geometry

Lattice parameters (Å, degrees): 5.8621 5.8621 6.1454 90.00 90.00 120.00
Fractional coordinates of all 9 atoms:
Rb (0.0000, 0.0000, 0.0000)
Th (0.3333, 0.6667, 0.5000)
Te (0.6667, 0.3333, 0.5000)
O (0.4066, 0.0458, 0.6808)
O (0.4066, 0.3608, 0.3192)
O (0.6392, 0.0458, 0.3192)
O (0.6392, 0.5934, 0.6808)
O (0.9542, 0.3608, 0.6808)
O (0.9542, 0.5934, 0.3192)

Summary:
M_tot (μB per formula unit): 1.088
V (Å³/f.u.): 182.9
Raw formation energy (eV per atom): -1.853


(7)
OsCBr2 | PBE | optimized geometry

Lattice parameters (Å, degrees): 7.1261 7.1261 7.1261 136.61 136.61 63.04
Fractional coordinates of all 8 atoms:
Os (0.0000, 0.0000, 0.0000)
Os (0.7500, 0.2500, 0.5000)
C (0.2500, 0.7500, 0.5000)
C (0.5000, 0.5000, 0.0000)
Br (0.1325, 0.6250, 0.0075)
Br (0.3750, 0.3825, 0.5075)
Br (0.6175, 0.1250, 0.9925)
Br (0.8750, 0.8675, 0.4925)

Summary:
M_tot (μB per formula unit): 0.000
E above lowest polymorph (eV/f.u.): 0.825
V (Å³/f.u.): 84.3
Raw formation energy (eV per atom): 2.269


(8)
CdCu4 | PBE | optimized geometry

Lattice parameters (Å, degrees): 7.2692 7.2692 7.2692 109.47 109.47 109.47
Fractional coordinates of all 20 atoms:
Cd (0.0000, 0.0000, 0.4250)
Cd (0.0000, 0.4250, 0.0000)
Cd (0.4250, 0.0000, 0.0000)
Cd (0.5750, 0.5750, 0.5750)
Cu (0.0000, 0.0000, 0.7875)
Cu (0.0000, 0.3512, 0.3512)
Cu (0.0000, 0.6488, 0.6488)
Cu (0.0000, 0.7875, 0.0000)
Cu (0.2125, 0.2125, 0.2125)
Cu (0.2500, 0.5000, 0.7500)
Cu (0.2500, 0.7500, 0.5000)
Cu (0.3512, 0.0000, 0.3512)
Cu (0.3512, 0.3512, 0.0000)
Cu (0.5000, 0.2500, 0.7500)
Cu (0.5000, 0.7500, 0.2500)
Cu (0.6488, 0.0000, 0.6488)
Cu (0.6488, 0.6488, 0.0000)
Cu (0.7500, 0.2500, 0.5000)
Cu (0.7500, 0.5000, 0.2500)
Cu (0.7875, 0.0000, 0.0000)

Summary:
M_tot (μB per formula unit): 0.000
E above lowest polymorph (eV/f.u.): 0.661
V (Å³/f.u.): 73.9
Formation enthalpy at 0 K (eV/atom): 0.190


(9)
AgSn6Pd | PBE | optimized geometry

Lattice parameters (Å, degrees): 6.3171 6.3176 6.3274 66.09 66.10 66.04
Fractional coordinates of all 8 atoms:
Ag (0.0000, 0.0000, 0.0000)
Sn (0.0329, 0.7372, 0.4852)
Sn (0.2631, 0.5130, 0.9670)
Sn (0.4868, 0.0324, 0.7367)
Sn (0.5132, 0.9676, 0.2633)
Sn (0.7369, 0.4870, 0.0330)
Sn (0.9671, 0.2628, 0.5148)
Pd (0.5000, 0.5000, 0.5000)

Summary:
M_tot (μB per formula unit): 0.000
V (Å³/f.u.): 202.0
Formation enthalpy at 0 K (eV/atom): -0.051


(10)
Al3BiIr | PBE | optimized geometry

Lattice parameters (Å, degrees): 4.8170 4.8170 4.8170 90.00 90.00 90.00
Fractional coordinates of all 5 atoms:
Al (0.0000, 0.0000, 0.5000)
Al (0.0000, 0.5000, 0.0000)
Al (0.5000, 0.0000, 0.0000)
Bi (0.5000, 0.5000, 0.5000)
Ir (0.0000, 0.0000, 0.0000)

Summary:
M_tot (μB per formula unit): 0.000
E above lowest polymorph (eV/f.u.): 0.000
V (Å³/f.u.): 111.8
Formation enthalpy at 0 K (eV/atom): -0.083


(11)
KFeNiCl5 | PBE | optimized geometry

Lattice parameters (Å, degrees): 7.1741 7.1741 8.7660 102.50 102.50 105.47
Fractional coordinates of all 16 atoms:
K (0.1578, 0.8422, 0.7500)
K (0.8422, 0.1578, 0.2500)
Fe (0.1914, 0.8086, 0.2500)
Fe (0.8086, 0.1914, 0.7500)
Ni (0.5000, 0.5000, 0.0000)
Ni (0.5000, 0.5000, 0.5000)
Cl (0.1096, 0.2624, 0.9344)
Cl (0.1969, 0.5784, 0.3905)
Cl (0.2624, 0.1096, 0.4344)
Cl (0.4216, 0.8031, 0.1095)
Cl (0.4303, 0.5697, 0.7500)
Cl (0.5697, 0.4303, 0.2500)
Cl (0.5784, 0.1969, 0.8905)
Cl (0.7376, 0.8904, 0.5656)
Cl (0.8031, 0.4216, 0.6095)
Cl (0.8904, 0.7376, 0.0656)

Summary:
M_tot (μB per formula unit): 6.011
V (Å³/f.u.): 203.0
Raw formation energy (eV per atom): -0.964


(12)
Dy11Ho4Sc9 | PBE | optimized geometry

Lattice parameters (Å, degrees): 14.9334 14.9334 3.4818 90.00 90.00 116.39
Fractional coordinates of all 24 atoms:
Dy (0.0000, 0.0000, 0.0000)
Dy (0.0341, 0.4059, 0.0000)
Dy (0.1882, 0.8118, 0.0000)
Dy (0.2106, 0.2106, 0.0000)
Dy (0.3770, 0.6230, 0.0000)
Dy (0.4059, 0.0341, 0.0000)
Dy (0.5941, 0.9659, 0.0000)
Dy (0.6230, 0.3770, 0.0000)
Dy (0.7894, 0.7894, 0.0000)
Dy (0.8118, 0.1882, 0.0000)
Dy (0.9659, 0.5941, 0.0000)
Ho (0.2384, 0.4167, 0.5000)
Ho (0.4167, 0.2384, 0.5000)
Ho (0.5833, 0.7616, 0.5000)
Ho (0.7616, 0.5833, 0.5000)
Sc (0.0156, 0.2033, 0.5000)
Sc (0.1775, 0.6132, 0.5000)
Sc (0.2033, 0.0156, 0.5000)
Sc (0.3868, 0.8225, 0.5000)
Sc (0.5000, 0.5000, 0.5000)
Sc (0.6132, 0.1775, 0.5000)
Sc (0.7967, 0.9844, 0.5000)
Sc (0.8225, 0.3868, 0.5000)
Sc (0.9844, 0.7967, 0.5000)

Summary:
M_tot (μB per formula unit): 0.002
V (Å³/f.u.): 695.6
Formation enthalpy at 0 K (eV/atom): 0.074


(13)
YTeAs2 | PBE | optimized geometry

Lattice parameters (Å, degrees): 3.9882 4.2871 5.6459 90.00 90.00 90.00
Fractional coordinates of all 4 atoms:
Y (0.0000, 0.0000, 0.0000)
Te (0.5000, 0.0000, 0.5000)
As (0.0000, 0.5000, 0.5000)
As (0.5000, 0.5000, 0.0000)

Summary:
M_tot (μB per formula unit): 0.000
V (Å³/f.u.): 96.5
Raw formation energy (eV per atom): -0.451


(14)
Ga2PbBr2Cl6 | PBE | optimized geometry

Lattice parameters (Å, degrees): 6.6380 6.6380 11.4930 90.00 90.00 120.00
Fractional coordinates of all 11 atoms:
Ga (0.3333, 0.6667, 0.2749)
Ga (0.6667, 0.3333, 0.7251)
Pb (0.0000, 0.0000, 0.5000)
Br (0.3333, 0.6667, 0.0769)
Br (0.6667, 0.3333, 0.9231)
Cl (0.0108, 0.6461, 0.3500)
Cl (0.3539, 0.3648, 0.3500)
Cl (0.3648, 0.0108, 0.6500)
Cl (0.6352, 0.9892, 0.3500)
Cl (0.6461, 0.6352, 0.6500)
Cl (0.9892, 0.3539, 0.6500)

Summary:
M_tot (μB per formula unit): 0.000
V (Å³/f.u.): 438.6
Raw formation energy (eV per atom): -1.062


(15)
Nd2Tm2Te7 | PBE | optimized geometry

Lattice parameters (Å, degrees): 9.6314 9.6314 9.6314 154.21 68.03 118.27
Fractional coordinates of all 11 atoms:
Nd (0.2415, 0.0000, 0.2415)
Nd (0.7585, 0.0000, 0.7585)
Tm (0.2276, 0.2276, 0.0000)
Tm (0.6724, 0.1724, 0.5000)
Te (0.0525, 0.6913, 0.3612)
Te (0.3301, 0.6913, 0.6388)
Te (0.3968, 0.5032, 0.8936)
Te (0.6096, 0.5032, 0.1064)
Te (0.6247, 0.2978, 0.3268)
Te (0.9052, 0.9052, 0.0000)
Te (0.9710, 0.2978, 0.6732)

Summary:
M_tot (μB per formula unit): 0.000
V (Å³/f.u.): 339.1
Raw formation energy (eV per atom): -1.209


(16)
Pr4CdAg2Rh | PBE | optimized geometry

Lattice parameters (Å, degrees): 9.0994 9.0994 9.0994 34.09 34.09 34.09
Fractional coordinates of all 8 atoms:
Pr (0.1145, 0.1145, 0.1145)
Pr (0.3673, 0.3673, 0.3673)
Pr (0.6327, 0.6327, 0.6327)
Pr (0.8855, 0.8855, 0.8855)
Cd (0.5000, 0.5000, 0.5000)
Ag (0.2393, 0.2393, 0.2393)
Ag (0.7607, 0.7607, 0.7607)
Rh (0.0000, 0.0000, 0.0000)

Summary:
M_tot (μB per formula unit): 0.000
V (Å³/f.u.): 211.1
Formation enthalpy at 0 K (eV/atom): -0.374


(17)
ZrAsCl2 | PBE | optimized geometry

Lattice parameters (Å, degrees): 6.9600 6.9600 3.4127 90.00 90.00 134.05
Fractional coordinates of all 4 atoms:
Zr (0.0000, 0.0000, 0.0000)
As (0.5000, 0.5000, 0.0000)
Cl (0.1477, 0.8523, 0.5000)
Cl (0.8523, 0.1477, 0.5000)

Summary:
M_tot (μB per formula unit): 0.369
E above lowest polymorph (eV/f.u.): 0.471
V (Å³/f.u.): 118.8
Raw formation energy (eV per atom): -0.949


(18)
BaSn2Br6 | PBE | optimized geometry

Lattice parameters (Å, degrees): 7.6676 7.6676 7.0817 90.00 90.00 120.00
Fractional coordinates of all 9 atoms:
Ba (0.0000, 0.0000, 0.0000)
Sn (0.3333, 0.6667, 0.5000)
Sn (0.6667, 0.3333, 0.5000)
Br (0.0000, 0.3538, 0.7407)
Br (0.0000, 0.6462, 0.2593)
Br (0.3538, 0.0000, 0.7407)
Br (0.3538, 0.3538, 0.2593)
Br (0.6462, 0.0000, 0.2593)
Br (0.6462, 0.6462, 0.7407)

Summary:
M_tot (μB per formula unit): 0.000
V (Å³/f.u.): 360.6
Raw formation energy (eV per atom): -1.221


(19)
Ga3RuSe | PBE | optimized geometry

Lattice parameters (Å, degrees): 4.8321 4.8321 4.8321 90.00 90.00 90.00
Fractional coordinates of all 5 atoms:
Ga (0.0000, 0.0000, 0.5000)
Ga (0.0000, 0.5000, 0.0000)
Ga (0.5000, 0.0000, 0.0000)
Ru (0.0000, 0.0000, 0.0000)
Se (0.5000, 0.5000, 0.5000)

Summary:
M_tot (μB per formula unit): 0.000
E above lowest polymorph (eV/f.u.): 0.000
V (Å³/f.u.): 112.8
Raw formation energy (eV per atom): 0.051


(20)
Sc2GePb | PBE | optimized geometry

Lattice parameters (Å, degrees): 6.3213 6.3213 6.3213 105.20 105.20 118.39
Fractional coordinates of all 8 atoms:
Sc (0.0961, 0.6250, 0.9711)
Sc (0.3750, 0.3461, 0.4711)
Sc (0.6539, 0.1250, 0.0289)
Sc (0.8750, 0.9039, 0.5289)
Ge (0.0000, 0.0000, 0.0000)
Ge (0.7500, 0.2500, 0.5000)
Pb (0.2500, 0.7500, 0.5000)
Pb (0.5000, 0.5000, 0.0000)

Summary:
M_tot (μB per formula unit): 0.000
V (Å³/f.u.): 95.4
Formation enthalpy at 0 K (eV/atom): -0.285